1.
! GGA-PBE Al2CdIn, optimized geometry; values from VASP
&SYSTEM
  ibrav = 0, nat = 4, ntyp = 3
/
ATOMIC_SPECIES
Cd 112.41 Cd.upf
Al 26.98 Al.upf
In 114.82 In.upf
ATOMIC_POSITIONS crystal
Cd 0.5000 0.5000 0.0000
Al 0.0000 0.0000 0.0000
Al 0.0000 0.5000 0.5000
In 0.5000 0.0000 0.5000
CELL_PARAMETERS angstrom
4.3773 0.0000 0.0000
0.0000 4.4111 0.0000
0.0000 0.0000 4.4111
! ΔE_f = 0.187 eV/atom
! D(E_F) = 0.51 states/eV/atom
! total magnetic moment = 0.0 Bohr magnetons per cell
! VASP energy = -10.392 eV per cell

---

2.
! GGA-PBE AlCdIn2, optimized geometry; values from VASP
&SYSTEM
  ibrav = 0, nat = 4, ntyp = 3
/
ATOMIC_SPECIES
Cd 112.41 Cd.upf
Al 26.98 Al.upf
In 114.82 In.upf
ATOMIC_POSITIONS crystal
Cd 0.7500 0.7500 0.7500
Al 0.2500 0.2500 0.2500
In 0.9942 0.9942 0.9942
In 0.5058 0.5058 0.5058
CELL_PARAMETERS angstrom
10.7643 0.0548 0.0322
10.2716 3.2201 0.0322
10.2716 1.5991 2.7952
! ΔE_f = 0.095 eV/atom
! D(E_F) = 0.35 states/eV/atom
! total magnetic moment = 0.0 Bohr magnetons per cell
! VASP energy = -9.757 eV per cell

---

3.
! GGA-PBE Al2CdIn, optimized geometry; values from VASP
&SYSTEM
  ibrav = 0, nat = 4, ntyp = 3
/
ATOMIC_SPECIES
Cd 112.41 Cd.upf
Al 26.98 Al.upf
In 114.82 In.upf
ATOMIC_POSITIONS crystal
Cd 0.5054 0.5054 0.5054
Al 0.9948 0.9948 0.9948
Al 0.2548 0.2548 0.2548
In 0.7450 0.7450 0.7450
CELL_PARAMETERS angstrom
10.3081 0.0081 0.0047
9.8461 3.0514 0.0047
9.8461 1.4947 2.6603
! ΔE_f = 0.104 eV/atom
! D(E_F) = 0.26 states/eV/atom
! total magnetic moment = 0.0 Bohr magnetons per cell
! VASP energy = -10.722 eV per cell

---

4.
! GGA-PBE Al2CdIn, optimized geometry; values from VASP
&SYSTEM
  ibrav = 0, nat = 4, ntyp = 3
/
ATOMIC_SPECIES
Cd 112.41 Cd.upf
Al 26.98 Al.upf
In 114.82 In.upf
ATOMIC_POSITIONS crystal
Cd 0.2500 0.7500 0.5000
Al 0.0000 0.0000 0.0000
Al 0.5000 0.5000 0.0000
In 0.7500 0.2500 0.5000
CELL_PARAMETERS angstrom
-0.9103 -5.0248 2.3072
4.3726 -2.2569 2.6809
-2.6028 4.9623 0.0401
! ΔE_f = 0.185 eV/atom
! D(E_F) = 0.28 states/eV/atom
! total magnetic moment = 0.0 Bohr magnetons per cell
! VASP energy = -10.398 eV per cell

---

Repeat the fourth record exactly.
! GGA-PBE Al2CdIn, optimized geometry; values from VASP
&SYSTEM
  ibrav = 0, nat = 4, ntyp = 3
/
ATOMIC_SPECIES
Cd 112.41 Cd.upf
Al 26.98 Al.upf
In 114.82 In.upf
ATOMIC_POSITIONS crystal
Cd 0.2500 0.7500 0.5000
Al 0.0000 0.0000 0.0000
Al 0.5000 0.5000 0.0000
In 0.7500 0.2500 0.5000
CELL_PARAMETERS angstrom
-0.9103 -5.0248 2.3072
4.3726 -2.2569 2.6809
-2.6028 4.9623 0.0401
! ΔE_f = 0.185 eV/atom
! D(E_F) = 0.28 states/eV/atom
! total magnetic moment = 0.0 Bohr magnetons per cell
! VASP energy = -10.398 eV per cell

---

- Number 3 is which compound?
  Al2CdIn

---

- What is the ΔE_f in the third record?
  0.104 eV/atom